(1)
First-principles (PBE) data for Nd3InBr2Cl after structural relaxation, as listed in OQMD via LeMat-Bulk.

The structure in extended XYZ format:
```
7
Lattice="6.056 0.000 0.000 0.000 6.056 0.000 0.000 0.000 6.124" Properties=species:S:1:pos:R:3 pbc="T T T"
Nd 0.000 0.000 0.000
Nd 0.000 3.028 3.062
Nd 3.028 0.000 3.062
In 0.000 0.000 3.062
Br 0.000 3.028 0.000
Br 3.028 0.000 0.000
Cl 3.028 3.028 3.062
```

For the final energy, the calculation gives -0.1636 Ha/atom. The magnetization comes out at 0.0 μB/f.u. The value obtained for the volume is 32.1 Å³/atom. Its space group is No. 123. As for the crystal system: tetragonal.

***

(2)
First-principles (PBE) data for LuZrCuPd after structural relaxation, as listed in OQMD via LeMat-Bulk.

The structure in extended XYZ format:
```
4
Lattice="0.000 3.366 3.366 3.366 0.000 3.366 3.366 3.366 0.000" Properties=species:S:1:pos:R:3 pbc="T T T"
Lu 0.000 0.000 0.000
Zr 3.366 3.366 3.366
Cu 5.049 5.049 5.049
Pd 1.683 1.683 1.683
```

The offset from the most stable computed form comes out at 0.000 eV/atom. The magnetization comes out at 0.0 μB/f.u. The value obtained for the volume is 19.1 Å³/atom. Its space group is No. 216. The formation energy comes out at -456 meV per atom. As for the crystal system: cubic.

***

(3)
First-principles (PBE) data for KCd13 after structural relaxation, as listed in OQMD via LeMat-Bulk.

The structure in extended XYZ format:
```
28
Lattice="0.000 6.926 6.926 6.926 0.000 6.926 6.926 6.926 0.000" Properties=species:S:1:pos:R:3 pbc="T T T"
K 3.463 3.463 3.463
K 10.389 10.389 10.389
Cd 0.000 0.000 0.000
Cd 6.926 5.249 2.495
Cd 11.357 6.926 5.249
Cd 8.603 2.495 6.926
Cd 8.603 6.926 4.431
Cd 6.926 4.431 5.249
Cd 9.421 5.249 6.926
Cd 6.926 8.603 2.495
Cd 5.249 2.495 6.926
Cd 11.357 6.926 8.603
Cd 5.249 6.926 4.431
Cd 9.421 8.603 6.926
Cd 6.926 4.431 8.603
Cd 6.926 6.926 6.926
Cd 6.926 9.421 5.249
Cd 4.431 5.249 6.926
Cd 8.603 6.926 9.421
Cd 2.495 6.926 5.249
Cd 8.603 11.357 6.926
Cd 6.926 5.249 11.357
Cd 4.431 8.603 6.926
Cd 6.926 9.421 8.603
Cd 5.249 6.926 9.421
Cd 5.249 11.357 6.926
Cd 2.495 6.926 8.603
Cd 6.926 8.603 11.357
```

For the final energy, the calculation gives -0.0362 Ha/atom. The value obtained for the volume is 23.7 Å³/atom. Its space group is No. 226. As for the crystal system: cubic.

***

(4)
First-principles (PBE) data for GdY2Cd after structural relaxation, as listed in OQMD via LeMat-Bulk.

The structure in extended XYZ format:
```
8
Lattice="3.493 -6.029 0.000 3.493 6.029 0.000 0.000 0.000 5.483" Properties=species:S:1:pos:R:3 pbc="T T T"
Gd 3.493 3.948 4.113
Gd 3.493 -3.948 1.371
Y 1.791 1.039 4.113
Y 1.791 -1.039 1.371
Y 5.195 1.039 4.113
Y 5.195 -1.039 1.371
Cd 3.493 1.998 1.371
Cd 3.493 -1.998 4.113
```

The offset from the most stable computed form comes out at 0.016 eV/atom. The magnetization comes out at 0.1 μB/f.u. The value obtained for the volume is 28.9 Å³/atom. Its space group is No. 63. The formation energy comes out at -113 meV per atom. As for the crystal system: orthorhombic.